CdInMoF6 | PBE+U | optimized geometry

* symmetry: P-31c (163)
* total energy: -4.693 eV/atom
* M_tot: 5.99 Bohr magnetons per cell

a b c (Å): 5.992 5.992 10.899
angles (deg): 90.00 90.00 120.00
Element x y z (fractional)
Cd: 0.333 0.667 0.250
Cd: 0.667 0.333 0.750
In: 0.000 0.000 0.000
In: 0.000 0.000 0.500
Mo: 0.667 0.333 0.250
Mo: 0.333 0.667 0.750
F: 0.642 0.620 0.148
F: 0.978 0.358 0.148
F: 0.358 0.978 0.648
F: 0.022 0.642 0.852
F: 0.380 0.358 0.352
F: 0.978 0.620 0.352
F: 0.620 0.978 0.852
F: 0.642 0.022 0.352
F: 0.022 0.380 0.648
F: 0.380 0.022 0.148
F: 0.620 0.642 0.648
F: 0.358 0.380 0.852